(1)
# La6NdSm

Crystalline La6NdSm at its relaxed geometry (PBE, Alexandria via LeMat-Bulk).

The calculation puts the uncorrected energy at -39.01 eV per cell. For the energy of formation from the pure elements, the calculation gives 0.0047 eV/atom.

The space group is P4/mmm (No. 123) and the conventional cell measures 5.236, 5.236 and 10.473 Å, with angles of 90.00, 90.00 and 90.00 degrees. Symmetry generates all atoms from La at (0.000, 0.000, 0.000), La at (0.000, 0.000, 0.500), La at (0.000, 0.500, 0.249), Nd at (0.500, 0.500, 0.500) and Sm at (0.500, 0.500, 0.000).


(2)
# La5NdSm4

Crystalline La5NdSm4 at its relaxed geometry (PBE, Alexandria via LeMat-Bulk).

The calculation puts the uncorrected energy at -48.08 eV per cell. For the energy of formation from the pure elements, the calculation gives 0.0199 eV/atom.

The space group is P4/mmm (No. 123) and the conventional cell measures 3.721, 3.721 and 25.781 Å, with angles of 90.00, 90.00 and 90.00 degrees. Symmetry generates all atoms from La at (0.000, 0.000, 0.000), La at (0.000, 0.000, 0.199), La at (0.000, 0.000, 0.399), Nd at (0.500, 0.500, 0.500), Sm at (0.500, 0.500, 0.100) and Sm at (0.500, 0.500, 0.299).


(3)
# La7NdSm4

Crystalline La7NdSm4 at its relaxed geometry (PBE, Alexandria via LeMat-Bulk).

The calculation puts the uncorrected energy at -111.79 eV per cell. For the energy of formation from the pure elements, the calculation gives 0.1866 eV/atom.

The space group is C2/m (No. 12) and the conventional cell measures 16.609, 6.154 and 9.565 Å, with angles of 90.00, 116.58 and 90.00 degrees. Symmetry generates all atoms from La at (0.000, 0.000, 0.000), La at (0.082, 0.500, 0.438), La at (0.208, 0.500, 0.220), La at (0.209, 0.500, 0.876), Nd at (0.000, 0.500, 0.000), Sm at (0.073, 0.000, 0.698) and Sm at (0.172, 0.000, 0.395).